[1]
6
Lattice="4.610 0.000 0.000 2.305 3.993 0.000 2.305 1.331 3.764" Properties=species:S:1:pos:R:3 comment="Fe4TcMo (SCAN, PBEsol geometry)" dft_energy_ev_per_atom=-23.647 delta_e_f_ev_per_atom=0.0966 pbc="T T T"
Fe 4.610 2.662 3.296
Mo 6.915 3.993 2.823
Fe 4.610 3.995 1.411
Tc 0.000 0.000 0.000
Fe 5.765 1.995 1.411
Fe 3.456 1.995 1.411

=====

[2]
10
Lattice="-0.571 0.653 -3.719 -1.509 -6.722 -0.949 -6.708 1.328 1.262" Properties=species:S:1:pos:R:3 comment="Sc2Cu2Bi (SCAN, PBEsol geometry)" dft_energy_ev_per_atom=-27.938 delta_e_f_ev_per_atom=-0.4471 pbc="T T T"
Bi -4.109 -2.697 0.157
Cu -5.494 -5.081 -0.049
Bi 0.000 0.000 0.000
Sc -4.994 0.101 -1.176
Cu -1.752 -4.015 -0.437
Cu -6.466 -1.379 0.750
Sc -3.793 -4.842 -2.229
Cu -2.723 -0.313 0.363
Sc -1.897 -1.707 -1.969
Sc -6.891 -3.034 -1.436

=====

[3]
5
Lattice="5.828 0.000 0.000 0.000 5.828 0.000 0.000 0.000 5.828" Properties=species:S:1:pos:R:3 comment="CaBi3Pb (SCAN, PBEsol geometry)" dft_energy_ev_per_atom=-63.828 delta_e_f_ev_per_atom=0.4090 pbc="T T T"
Ca 2.914 2.914 2.914
Pb 0.000 0.000 0.000
Bi 0.000 2.914 0.000
Bi 0.000 0.000 2.914
Bi 2.914 0.000 0.000

=====

[4]
5
Lattice="-0.763 4.254 -0.079 -3.864 -0.741 -2.574 -2.546 -0.384 3.934" Properties=species:S:1:pos:R:3 comment="NbNiIrPt2 (SCAN, PBEsol geometry)" dft_energy_ev_per_atom=-50.438 delta_e_f_ev_per_atom=1.7202 pbc="T T T"
Nb 0.000 0.000 0.000
Pt -1.932 -0.371 -1.287
Ir -3.587 1.565 0.640
Ni -0.382 2.127 -0.040
Pt -1.273 -0.192 1.967

=====

[5]
4
Lattice="-3.085 -1.651 1.495 -2.500 -1.763 -2.263 3.433 -10.042 0.833" Properties=species:S:1:pos:R:3 comment="KCaCd2 (SCAN, PBEsol geometry)" dft_energy_ev_per_atom=-19.706 e_above_lowest_polymorph_ev_per_atom=0.093 delta_e_f_ev_per_atom=-0.0005 pbc="T T T"
Cd -1.492 -10.297 0.074
K -1.076 -6.729 0.033
Cd -0.659 -3.160 -0.009
Ca 0.000 0.000 0.000

=====

[6]
5
Lattice="-4.469 0.771 1.964 -2.026 -2.853 -3.490 0.589 -3.961 2.895" Properties=species:S:1:pos:R:3 comment="Y3MnSi (SCAN, PBEsol geometry)" dft_energy_ev_per_atom=-22.079 formation_energy_uncorrected_mev_per_atom=280 pbc="T T T"
Y 0.295 -1.981 1.448
Y -2.234 0.385 0.982
Si -2.953 -3.022 0.685
Mn 0.000 0.000 0.000
Y -1.013 -1.426 -1.745

=====

[7]
4
Lattice="-1.210 0.256 -2.332 0.227 -3.536 -0.506 -4.682 -0.638 2.360" Properties=species:S:1:pos:R:3 comment="CrCoIr2 (SCAN, PBEsol geometry)" dft_energy_ev_per_atom=-44.611 delta_e_f_ev_per_atom=-0.1393 pbc="T T T"
Cr -2.833 -1.959 -0.239
Ir -1.162 -0.158 0.586
Ir -3.520 -0.480 1.774
Co -0.492 -1.640 -1.419

=====

[8]
12
Lattice="-2.942 2.325 -4.010 -1.758 -4.635 2.361 -3.323 3.551 4.496" Properties=species:S:1:pos:R:3 comment="NaSO3F (SCAN, PBEsol geometry)" dft_energy_ev_per_atom=-7.981 formation_energy_uncorrected_mev_per_atom=-1968 pbc="T T T"
O -6.037 1.676 1.643
Na 0.000 0.000 0.000
F -3.910 -0.437 2.616
S -3.100 -1.302 1.520
F -4.113 1.678 0.232
S -4.923 2.543 1.327
O -5.253 3.743 0.589
O -2.770 -2.502 2.258
O -1.986 -0.435 1.205
O -3.941 2.706 2.378
Na -1.662 1.776 2.248
O -4.082 -1.465 0.469

=====

[9]
5
Lattice="-4.390 0.085 2.461 -1.140 -4.587 -1.875 2.210 -2.192 4.020" Properties=species:S:1:pos:R:3 comment="CsSc2ZnRh (SCAN, PBEsol geometry)" dft_energy_ev_per_atom=-20.736 delta_e_f_ev_per_atom=1.9780 pbc="T T T"
Sc -0.570 -2.293 -0.937
Sc 1.105 -1.096 2.010
Zn -2.195 0.043 1.230
Rh -1.660 -3.347 2.303
Cs 0.000 0.000 0.000

=====

[10]
5
Lattice="-3.308 0.288 1.620 -2.091 -1.109 -4.074 0.169 -4.565 1.156" Properties=species:S:1:pos:R:3 comment="P2RuBrO (SCAN, PBEsol geometry)" dft_energy_ev_per_atom=-16.049 formation_energy_uncorrected_mev_per_atom=214 pbc="T T T"
P -1.045 -0.555 -2.037
P 0.085 -2.282 0.578
Ru 0.000 0.000 0.000
Br -2.615 -2.693 -0.649
O -1.654 0.144 0.810

=====

[11]
4
Lattice="4.082 0.000 0.000 2.041 3.535 0.000 2.041 1.178 3.333" Properties=species:S:1:pos:R:3 comment="CaYO2 (SCAN, PBEsol geometry)" dft_energy_ev_per_atom=-15.032 e_above_lowest_polymorph_ev_per_atom=0.104 formation_energy_uncorrected_mev_per_atom=-2540 pbc="T T T"
O 6.124 3.535 2.500
Ca 0.000 0.000 0.000
O 2.041 1.178 0.833
Y 4.082 2.357 1.667

=====

[12]
4
Lattice="-2.800 -2.869 -2.196 1.366 -4.262 -0.931 -1.858 -3.533 2.227" Properties=species:S:1:pos:R:3 comment="AgAu3 (SCAN, PBEsol geometry)" dft_energy_ev_per_atom=-59.739 e_above_lowest_polymorph_ev_per_atom=0.037 delta_e_f_ev_per_atom=-0.0299 pbc="T T T"
Au -2.469 -7.997 -0.674
Au -0.823 -2.666 -0.225
Au -1.646 -5.332 -0.450
Ag 0.000 0.000 0.000